(1)
DFT (PBE-GGA) results for a geometry-optimized Ti3BeIn structure.

## Properties
Relative energy among the computed polymorphs   1429 meV/atom
Space group   Pm-3m

The structure in POSCAR format:
```
Ti3BeIn
1.0
4.970 0.000 0.000
0.000 4.970 0.000
0.000 0.000 4.970
Be Ti In
1 3 1
Direct
0.500 0.500 0.500
0.500 0.000 0.000
0.000 0.000 0.500
0.000 0.500 0.000
0.000 0.000 0.000
```



(2)
DFT (PBE-GGA) results for a geometry-optimized LiMnGaHg structure.

## Properties
Space group   F-43m

The structure in POSCAR format:
```
LiMnGaHg
1.0
4.545 0.000 0.000
2.273 3.937 0.000
2.273 1.312 3.711
Hg Mn Li Ga
1 1 1 1
Direct
0.000 0.000 0.000
0.250 0.250 0.250
0.750 0.750 0.750
0.500 0.500 0.500
```



(3)
DFT (PBE-GGA) results for a geometry-optimized Pm2NdSn9 structure.

## Properties
Space group   P4/mmm

The structure in POSCAR format:
```
Pm2NdSn9
1.0
4.749 0.000 0.000
0.000 4.749 0.000
0.000 0.000 14.401
Sn Nd Pm
9 1 2
Direct
0.000 0.500 0.168
0.500 0.000 0.168
0.500 0.000 0.832
0.500 0.500 0.334
0.000 0.500 0.500
0.000 0.500 0.832
0.500 0.000 0.500
0.500 0.500 0.666
0.500 0.500 0.000
0.000 0.000 0.000
0.000 0.000 0.334
0.000 0.000 0.666
```



Computed energy of formation (eV/atom) in order:
1.531 -0.077 -0.491